[1]
{
  "formula": "KSi3Pd",
  "functional": "PBE-GGA",
  "state": "relaxed",
  "lattice_angstrom": [[-4.322, -0.189, 2.255], [1.526, -3.832, 2.605], [1.670, 3.013, 3.454]],
  "species": ["K", "Si", "Si", "Si", "Pd"],
  "fractional_positions": [[0.500, 0.500, 0.500], [0.000, 0.500, 0.000], [0.000, 0.000, 0.500], [0.500, 0.000, 0.000], [0.000, 0.000, 0.000]],
  "space_group": "Pm-3m"
}

***

[2]
{
  "formula": "KSi4Pd4",
  "functional": "PBE-GGA",
  "state": "relaxed",
  "lattice_angstrom": [[4.110, 0.000, 0.000], [0.000, 9.096, 0.000], [0.000, 0.000, 9.096]],
  "species": ["K", "K", "Si", "Si", "Si", "Si", "Si", "Si", "Si", "Si", "Pd", "Pd", "Pd", "Pd", "Pd", "Pd", "Pd", "Pd"],
  "fractional_positions": [[0.000, 0.000, 0.000], [0.500, 0.500, 0.500], [0.500, 0.832, 0.276], [0.500, 0.168, 0.724], [0.000, 0.776, 0.668], [0.000, 0.332, 0.776], [0.000, 0.668, 0.224], [0.500, 0.276, 0.168], [0.500, 0.724, 0.832], [0.000, 0.224, 0.332], [0.500, 0.350, 0.917], [0.000, 0.583, 0.850], [0.500, 0.650, 0.083], [0.000, 0.150, 0.583], [0.500, 0.917, 0.650], [0.000, 0.850, 0.417], [0.000, 0.417, 0.150], [0.500, 0.083, 0.350]],
  "space_group": "I4/m"
}

***

[3]
{
  "formula": "K2SiPd2",
  "functional": "PBE-GGA",
  "state": "relaxed",
  "lattice_angstrom": [[4.099, 0.000, 0.000], [0.000, 4.099, 0.000], [2.049, 2.049, 7.144]],
  "species": ["K", "K", "Si", "Pd", "Pd"],
  "fractional_positions": [[0.750, 0.250, 0.500], [0.250, 0.750, 0.500], [0.000, 0.000, 0.000], [0.412, 0.412, 0.177], [0.588, 0.588, 0.823]],
  "space_group": "I4/mmm"
}

***

[4]
{
  "formula": "KSiPd2",
  "functional": "PBE-GGA",
  "state": "relaxed",
  "lattice_angstrom": [[7.530, 0.000, 0.000], [0.000, 7.530, 0.000], [3.765, 3.765, 3.382]],
  "species": ["K", "K", "Si", "Si", "Pd", "Pd", "Pd", "Pd"],
  "fractional_positions": [[0.000, 0.000, 0.000], [0.750, 0.250, 0.500], [0.500, 0.500, 0.000], [0.250, 0.750, 0.500], [0.513, 0.125, 0.250], [0.237, 0.625, 0.250], [0.375, 0.487, 0.750], [0.875, 0.763, 0.750]],
  "space_group": "I-42d"
}

***

Let's list raw formation energy in order: 505.1, -409.1, 733.8, -99.3 meV per atom.